# TbDyBi, optimized geometry, DFT PBE
# - calculated volume (Å³/atom) = 29.9
# - total magnetization (μB/atom) = 0.00
# - ΔE_f (eV per atom) = -0.604
# - DOS at the Fermi energy (states/eV/atom) = 0.77
data_TbDyBi
_space_group_name_H-M_alt 'P 4/n m m'
_space_group_IT_number 129
_cell_length_a 4.553
_cell_length_b 4.553
_cell_length_c 8.652
_cell_angle_alpha 90.00
_cell_angle_beta 90.00
_cell_angle_gamma 90.00
loop_
_space_group_symop_operation_xyz
'x,y,z'
'-x,-y,-z'
'-y+1/2,x,z'
'y+1/2,-x,-z'
'-x+1/2,-y+1/2,z'
'x+1/2,y+1/2,-z'
'y,-x+1/2,z'
'-y,x+1/2,-z'
'x+1/2,-y,-z'
'-x+1/2,y,z'
'-y,-x,-z'
'y,x,z'
'-x,y+1/2,-z'
'x,-y+1/2,z'
'y+1/2,x+1/2,-z'
'-y+1/2,-x+1/2,z'
loop_
_atom_site_label
_atom_site_fract_x
_atom_site_fract_y
_atom_site_fract_z
Tb1 0.250 0.250 0.153
Dy1 0.250 0.750 0.500
Bi1 0.250 0.250 0.783